A geometry-optimized MnP3C structure, computed with PBE-GGA. Values from VASP.

Geometry as Quantum ESPRESSO input:
```
&SYSTEM
  ibrav = 0, nat = 5, ntyp = 3
/
ATOMIC_SPECIES
P 30.97 P.upf
Mn 54.94 Mn.upf
C 12.01 C.upf
ATOMIC_POSITIONS angstrom
P 2.0030 0.5070 0.5565
P 0.3517 -2.0287 0.5825
P -0.6657 0.4538 1.9824
Mn 0.0000 0.0000 0.0000
C 1.6890 -1.0679 3.1214
CELL_PARAMETERS angstrom
-1.3313 0.9076 3.9647
0.7034 -4.0575 1.1650
4.0060 1.0141 1.1131
```

Calculated values
* symmetry: Pm-3m, No. 221
* ΔE_f: 1.58 eV/atom
* V: 15.676 Å³ per atom